# 1
The following is a GGA-PBE calculation of a geometry-optimized Mg2In5Pd structure, from Alexandria.

Results
- energy of formation (eV/atom) = -0.192
- space-group type = Cmcm (63)
- total magnetic moment (μB/atom) = 0.0000
- uncorrected energy (eV per atom) = -2.95

Unit cell a=4.284 b=5.520 c=16.835 alpha=90.00 beta=90.00 gamma=112.83
Positions (direct):
1 Mg 0.738 0.476 0.342
2 Mg 0.738 0.476 0.158
3 Mg 0.262 0.524 0.658
4 Mg 0.262 0.524 0.842
5 In 0.967 0.934 0.898
6 In 0.967 0.934 0.602
7 In 0.347 0.694 0.467
8 In 0.347 0.694 0.033
9 In 0.442 0.884 0.250
10 In 0.558 0.116 0.750
11 In 0.653 0.306 0.533
12 In 0.653 0.306 0.967
13 In 0.033 0.066 0.102
14 In 0.033 0.066 0.398
15 Pd 0.845 0.690 0.750
16 Pd 0.155 0.310 0.250

***

# 2
The following is a GGA-PBE calculation of a geometry-optimized CeTc2Ge2 structure, from Alexandria.

Results
- energy of formation (eV/atom) = -0.402
- space-group type = I4/mmm (139)
- total magnetic moment (μB/atom) = 0.1277
- uncorrected energy (eV per atom) = -7.58

Unit cell a=4.229 b=4.229 c=6.023 alpha=110.56 beta=110.56 gamma=90.00
Positions (direct):
1 Ce 0.000 0.000 0.000
2 Tc 0.750 0.250 0.500
3 Tc 0.250 0.750 0.500
4 Ge 0.624 0.624 0.247
5 Ge 0.376 0.376 0.753

***

# 3
The following is a GGA-PBE calculation of a geometry-optimized KAlSb3 structure, from Alexandria.

Results
- space-group type = Pm-3m (221)
- total magnetic moment (μB/atom) = 0.0008
- formation energy without anion corrections (kJ per mole of atoms) = 127
- uncorrected energy (eV per atom) = -2.13

Unit cell a=5.850 b=5.850 c=5.850 alpha=90.00 beta=90.00 gamma=90.00
Positions (direct):
1 Sb 0.000 0.500 0.000
2 Sb 0.000 0.000 0.500
3 Sb 0.500 0.000 0.000
4 K 0.000 0.000 0.000
5 Al 0.500 0.500 0.500

***

# 4
The following is a GGA-PBE calculation of a geometry-optimized ZrSiW2 structure, from Alexandria.

Results
- space-group type = P2/m (10)
- total magnetic moment (μB/atom) = 0.0000
- formation energy without anion corrections (kJ per mole of atoms) = 8
- uncorrected energy (eV per atom) = -9.88

Unit cell a=4.701 b=2.845 c=5.091 alpha=88.89 beta=90.00 gamma=90.00
Positions (direct):
1 Si 0.500 0.750 0.750
2 W 0.000 0.915 0.991
3 W 0.000 0.585 0.509
4 Zr 0.500 0.250 0.250

***

# 5
The following is a GGA-PBE calculation of a geometry-optimized SrEu2Tl structure, from Alexandria.

Results
- energy of formation (eV/atom) = -0.213
- space-group type = P4/mmm (123)
- total magnetic moment (μB/atom) = 3.6159
- uncorrected energy (eV per atom) = -6.36

Unit cell a=4.068 b=4.068 c=9.746 alpha=90.00 beta=90.00 gamma=90.00
Positions (direct):
1 Eu 0.000 0.000 0.811
2 Eu 0.000 0.000 0.189
3 Sr 0.500 0.500 0.500
4 Tl 0.500 0.500 0.000

***

# 6
The following is a GGA-PBE calculation of a geometry-optimized CsNpCoS4 structure, from Alexandria.

Results
- space-group type = P2_1/m (11)
- total magnetic moment (μB/atom) = 0.1479
- formation energy without anion corrections (kJ per mole of atoms) = -84
- uncorrected energy (eV per atom) = -6.21

Unit cell a=6.306 b=5.920 c=9.438 alpha=90.00 beta=106.71 gamma=90.00
Positions (direct):
1 Cs 0.753 0.750 0.953
2 Cs 0.247 0.250 0.047
3 Np 0.748 0.750 0.452
4 Np 0.252 0.250 0.548
5 Co 0.228 0.750 0.363
6 Co 0.772 0.250 0.637
7 S 0.019 0.511 0.685
8 S 0.981 0.011 0.315
9 S 0.981 0.489 0.315
10 S 0.019 0.989 0.685
11 S 0.436 0.750 0.212
12 S 0.564 0.250 0.788
13 S 0.440 0.750 0.584
14 S 0.560 0.250 0.416

***

# 7
The following is a GGA-PBE calculation of a geometry-optimized PmTlPbF6 structure, from Alexandria.

Results
- space-group type = P4_2nm (102)
- total magnetic moment (μB/atom) = 0.0000
- formation energy without anion corrections (kJ per mole of atoms) = -287
- uncorrected energy (eV per atom) = -5.42

Unit cell a=5.762 b=5.762 c=11.822 alpha=90.00 beta=90.00 gamma=90.00
Positions (direct):
1 Pm 0.500 0.500 0.833
2 Pm 0.000 0.000 0.333
3 Tl 0.500 0.500 0.500
4 Tl 0.000 0.000 0.000
5 Pb 0.500 0.500 0.169
6 Pb 0.000 0.000 0.669
7 F 0.170 0.830 0.487
8 F 0.830 0.170 0.487
9 F 0.330 0.330 0.987
10 F 0.670 0.670 0.987
11 F 0.201 0.799 0.199
12 F 0.799 0.201 0.199
13 F 0.299 0.299 0.699
14 F 0.701 0.701 0.699
15 F 0.779 0.221 0.813
16 F 0.221 0.779 0.813
17 F 0.721 0.721 0.313
18 F 0.279 0.279 0.313

***

# 8
The following is a GGA-PBE calculation of a geometry-optimized BaGeAsBr2 structure, from Alexandria.

Results
- space-group type = P4/mmm (123)
- total magnetic moment (μB/atom) = 0.0000
- formation energy without anion corrections (kJ per mole of atoms) = -72
- uncorrected energy (eV per atom) = -3.65

Unit cell a=5.479 b=5.479 c=5.145 alpha=90.00 beta=90.00 gamma=90.00
Positions (direct):
1 As 0.000 0.000 0.500
2 Ge 0.000 0.000 0.000
3 Ba 0.500 0.500 0.500
4 Br 0.000 0.500 0.000
5 Br 0.500 0.000 0.000

***

# 9
The following is a GGA-PBE calculation of a geometry-optimized DyPuNi2H8 structure, from Alexandria.

Results
- space-group type = R-3m (166)
- total magnetic moment (μB/atom) = 0.3535
- uncorrected energy (eV per atom) = -5.04

Unit cell a=4.372 b=4.372 c=6.729 alpha=71.04 beta=71.04 gamma=60.00
Positions (direct):
1 Dy 0.000 0.000 0.000
2 Pu 0.500 0.500 0.500
3 Ni 0.240 0.240 0.279
4 Ni 0.760 0.760 0.721
5 H 0.153 0.153 0.540
6 H 0.463 0.463 0.176
7 H 0.847 0.847 0.460
8 H 0.898 0.463 0.176
9 H 0.102 0.537 0.824
10 H 0.463 0.898 0.176
11 H 0.537 0.102 0.824
12 H 0.537 0.537 0.824

***

# 10
The following is a GGA-PBE calculation of a geometry-optimized OsClF8 structure, from Alexandria.

Results
- space-group type = P2/c (13)
- total magnetic moment (μB/atom) = 0.3001
- formation energy without anion corrections (kJ per mole of atoms) = -126
- uncorrected energy (eV per atom) = -4.11

Unit cell a=5.866 b=6.823 c=10.246 alpha=51.63 beta=90.00 gamma=90.00
Positions (direct):
1 Os 0.378 0.000 0.250
2 Os 0.622 0.000 0.750
3 Cl 0.895 0.500 0.750
4 Cl 0.105 0.500 0.250
5 F 0.083 0.368 0.710
6 F 0.621 0.327 0.698
7 F 0.392 0.113 0.587
8 F 0.851 0.111 0.586
9 F 0.917 0.368 0.210
10 F 0.379 0.327 0.198
11 F 0.149 0.889 0.414
12 F 0.608 0.887 0.413
13 F 0.149 0.111 0.086
14 F 0.608 0.113 0.087
15 F 0.379 0.673 0.302
16 F 0.917 0.632 0.290
17 F 0.392 0.887 0.913
18 F 0.851 0.889 0.914
19 F 0.621 0.673 0.802
20 F 0.083 0.632 0.790

***

# 11
The following is a GGA-PBE calculation of a geometry-optimized Er2ZnHPt6 structure, from Alexandria.

Results
- space-group type = P-1 (2)
- total magnetic moment (μB/atom) = 0.0000
- uncorrected energy (eV per atom) = -5.77

Unit cell a=5.592 b=6.989 c=5.585 alpha=66.59 beta=59.98 gamma=90.04
Positions (direct):
1 Er 0.785 0.359 0.429
2 Er 0.215 0.641 0.571
3 Zn 0.500 0.500 0.000
4 H 0.000 0.000 0.000
5 Pt 0.230 0.194 0.538
6 Pt 0.771 0.808 0.959
7 Pt 0.273 0.809 0.958
8 Pt 0.727 0.191 0.042
9 Pt 0.229 0.192 0.041
10 Pt 0.770 0.806 0.462

***

# 12
The following is a GGA-PBE calculation of a geometry-optimized CuOsBr2 structure, from Alexandria.

Results
- space-group type = Cmm2 (35)
- total magnetic moment (μB/atom) = 0.0000
- formation energy without anion corrections (kJ per mole of atoms) = 67
- uncorrected energy (eV per atom) = -3.97

Unit cell a=3.210 b=3.210 c=9.952 alpha=90.00 beta=90.00 gamma=124.56
Positions (direct):
1 Br 0.000 0.000 0.930
2 Br 0.500 0.500 0.323
3 Cu 0.000 0.000 0.520
4 Os 0.500 0.500 0.727

***

# 13
The following is a GGA-PBE calculation of a geometry-optimized CrSnIr structure, from Alexandria.

Results
- energy of formation (eV/atom) = 0.207
- space-group type = P4/nmm (129)
- total magnetic moment (μB/atom) = 0.0016
- uncorrected energy (eV per atom) = -7.29

Unit cell a=4.325 b=4.327 c=5.827 alpha=90.00 beta=90.00 gamma=90.00
Positions (direct):
1 Cr 0.500 0.000 0.693
2 Cr 0.000 0.500 0.307
3 Ir 0.000 0.000 0.500
4 Ir 0.500 0.500 0.500
5 Sn 0.500 0.500 0.000
6 Sn 0.000 0.000 0.000

***

# 14
The following is a GGA-PBE calculation of a geometry-optimized ZnCu3Ag structure, from Alexandria.

Results
- energy of formation (eV/atom) = 0.974
- space-group type = Pm-3m (221)
- total magnetic moment (μB/atom) = 0.0000
- uncorrected energy (eV per atom) = -2.31

Unit cell a=4.728 b=4.728 c=4.728 alpha=90.00 beta=90.00 gamma=90.00
Positions (direct):
1 Zn 0.500 0.500 0.500
2 Cu 0.000 0.500 0.000
3 Cu 0.000 0.000 0.500
4 Cu 0.500 0.000 0.000
5 Ag 0.000 0.000 0.000

***

# 15
The following is a GGA-PBE calculation of a geometry-optimized Tb3SmHo4S8 structure, from Alexandria.

Results
- space-group type = R-3m (166)
- total magnetic moment (μB/atom) = 0.0000
- formation energy without anion corrections (kJ per mole of atoms) = -192
- uncorrected energy (eV per atom) = -6.36

Unit cell a=7.824 b=7.844 c=7.824 alpha=119.92 beta=120.00 gamma=90.00
Positions (direct):
1 Tb 0.500 0.500 0.000
2 Tb 0.500 0.500 0.500
3 Tb 0.000 0.500 0.500
4 Sm 0.000 0.500 0.000
5 Ho 0.500 0.000 0.000
6 Ho 0.500 0.000 0.500
7 Ho 0.000 0.000 0.000
8 Ho 0.000 0.000 0.500
9 S 0.254 0.757 0.003
10 S 0.254 0.757 0.508
11 S 0.248 0.245 0.497
12 S 0.749 0.757 0.003
13 S 0.251 0.243 0.997
14 S 0.752 0.755 0.503
15 S 0.746 0.243 0.492
16 S 0.746 0.243 0.997

***

# 16
The following is a GGA-PBE calculation of a geometry-optimized HfZrPaNb structure, from Alexandria.

Results
- energy of formation (eV/atom) = 0.068
- space-group type = F-43m (216)
- total magnetic moment (μB/atom) = 0.0000
- uncorrected energy (eV per atom) = -9.45

Unit cell a=4.989 b=4.989 c=4.989 alpha=60.00 beta=60.00 gamma=60.00
Positions (direct):
1 Nb 0.750 0.750 0.750
2 Pa 0.500 0.500 0.500
3 Hf 0.000 0.000 0.000
4 Zr 0.250 0.250 0.250

***

# 17
The following is a GGA-PBE calculation of a geometry-optimized Sr2GaRhPb structure, from Alexandria.

Results
- energy of formation (eV/atom) = -0.303
- space-group type = P4/mmm (123)
- total magnetic moment (μB/atom) = 0.1626
- uncorrected energy (eV per atom) = -3.79

Unit cell a=5.803 b=5.803 c=4.787 alpha=90.00 beta=90.00 gamma=90.00
Positions (direct):
1 Pb 0.500 0.500 0.500
2 Sr 0.000 0.500 0.000
3 Sr 0.500 0.000 0.000
4 Rh 0.000 0.000 0.000
5 Ga 0.000 0.000 0.500

***

# 18
The following is a GGA-PBE calculation of a geometry-optimized NbNi3Pd2 structure, from Alexandria.

Results
- energy of formation (eV/atom) = -0.118
- space-group type = Fmmm (69)
- total magnetic moment (μB/atom) = 0.0000
- uncorrected energy (eV per atom) = -6.42

Unit cell a=4.971 b=4.971 c=8.489 alpha=114.88 beta=114.88 gamma=64.11
Positions (direct):
1 Nb 0.666 0.666 0.333
2 Nb 0.334 0.334 0.667
3 Ni 0.836 0.836 0.163
4 Ni 0.673 0.673 0.837
5 Ni 0.164 0.164 0.837
6 Ni 0.327 0.327 0.163
7 Ni 0.163 0.163 0.326
8 Ni 0.837 0.837 0.674
9 Pd 0.750 0.250 0.500
10 Pd 0.750 0.250 0.000
11 Pd 0.250 0.750 0.500
12 Pd 0.250 0.750 0.000

***

# 19
The following is a GGA-PBE calculation of a geometry-optimized Li2HgBAu structure, from Alexandria.

Results
- energy of formation (eV/atom) = 0.249
- space-group type = P4/mmm (123)
- total magnetic moment (μB/atom) = 0.0000
- uncorrected energy (eV per atom) = -2.57

Unit cell a=4.509 b=4.181 c=4.509 alpha=90.00 beta=90.00 gamma=90.00
Positions (direct):
1 B 0.000 0.000 0.000
2 Au 0.500 0.500 0.500
3 Hg 0.000 0.500 0.000
4 Li 0.000 0.000 0.500
5 Li 0.500 0.000 0.000

***

# 20
The following is a GGA-PBE calculation of a geometry-optimized K4In4Ag structure, from Alexandria.

Results
- energy of formation (eV/atom) = -0.011
- space-group type = I-42m (121)
- total magnetic moment (μB/atom) = 0.0000
- uncorrected energy (eV per atom) = -2.03

Unit cell a=6.334 b=9.406 c=6.334 alpha=70.32 beta=90.00 gamma=109.68
Positions (direct):
1 K 0.051 0.662 0.390
2 K 0.610 0.662 0.949
3 K 0.390 0.338 0.610
4 K 0.949 0.338 0.051
5 In 0.360 0.120 0.240
6 In 0.760 0.120 0.640
7 In 0.240 0.880 0.760
8 In 0.640 0.880 0.360
9 Ag 0.000 0.000 0.000

***

# 21
The following is a GGA-PBE calculation of a geometry-optimized Pm3NdPu2S6 structure, from Alexandria.

Results
- space-group type = C2/m (12)
- total magnetic moment (μB/atom) = 0.9400
- formation energy without anion corrections (kJ per mole of atoms) = -189
- uncorrected energy (eV per atom) = -8.00

Unit cell a=6.944 b=6.944 c=6.967 alpha=99.54 beta=99.54 gamma=120.00
Positions (direct):
1 Pm 0.165 0.835 0.500
2 Pm 0.835 0.165 0.500
3 Pm 0.500 0.500 0.500
4 Nd 0.000 0.000 0.000
5 Pu 0.333 0.667 0.000
6 Pu 0.667 0.333 0.000
7 S 0.918 0.578 0.753
8 S 0.742 0.742 0.245
9 S 0.082 0.422 0.247
10 S 0.578 0.918 0.753
11 S 0.258 0.258 0.755
12 S 0.422 0.082 0.247

***

# 22
The following is a GGA-PBE calculation of a geometry-optimized Ac2YC2N6 structure, from Alexandria.

Results
- space-group type = C2/m (12)
- total magnetic moment (μB/atom) = 0.0000
- formation energy without anion corrections (kJ per mole of atoms) = -79
- uncorrected energy (eV per atom) = -8.37

Unit cell a=5.425 b=5.572 c=6.683 alpha=117.53 beta=90.00 gamma=119.14
Positions (direct):
1 Ac 0.714 0.427 0.197
2 Ac 0.286 0.573 0.803
3 Y 0.500 0.000 0.500
4 C 0.942 0.884 0.747
5 C 0.058 0.116 0.253
6 N 0.781 0.561 0.666
7 N 0.194 0.952 0.217
8 N 0.242 0.048 0.783
9 N 0.806 0.048 0.783
10 N 0.758 0.952 0.217
11 N 0.219 0.439 0.334

***

# 23
The following is a GGA-PBE calculation of a geometry-optimized TcAsAu2 structure, from Alexandria.

Results
- energy of formation (eV/atom) = 0.370
- space-group type = Pmmm (47)
- total magnetic moment (μB/atom) = 0.0001
- uncorrected energy (eV per atom) = -5.02

Unit cell a=3.089 b=4.417 c=5.014 alpha=90.00 beta=90.00 gamma=90.00
Positions (direct):
1 As 0.000 0.500 0.500
2 Au 0.000 0.000 0.000
3 Au 0.500 0.500 0.000
4 Tc 0.500 0.000 0.500